# 1
## Co2ReRh (PBEsol)

Data for an optimized crystal structure of Co2ReRh.

As for the offset from the most stable computed form: 324 meV per atom. The calculation puts the magnetization at 0.67 μB per cell. The density of states at the Fermi level is 6.6 states/eV/f.u. The formation energy comes out at 0.3233 eV per atom.

The structure belongs to space group F-43m (No. 216); the cell edges are 5.8278, 5.8278 and 5.8278 Å and the angles 90.00°, 90.00° and 90.00°. The asymmetric unit holds Co at (0.0000, 0.0000, 0.0000), Co at (0.2500, 0.2500, 0.2500), Re at (0.2500, 0.2500, 0.7500) and Rh at (0.0000, 0.0000, 0.5000).

***

# 2
## MnNbRu2 (PBEsol)

Data for an optimized crystal structure of MnNbRu2.

The calculation puts the magnetization at 16.19 μB per cell. The density of states at the Fermi level is 3.0 states/eV/f.u. The formation energy comes out at -0.0646 eV per atom.

The structure belongs to space group Fm-3m (No. 225); the cell edges are 6.1250, 6.1250 and 6.1250 Å and the angles 90.00°, 90.00° and 90.00°. The asymmetric unit holds Mn at (0.0000, 0.0000, 0.0000), Nb at (0.0000, 0.0000, 0.5000) and Ru at (0.2500, 0.2500, 0.2500).

***

# 3
## KAl2Rh (PBEsol)

Data for an optimized crystal structure of KAl2Rh.

As for the offset from the most stable computed form: 136 meV per atom. The calculation puts the magnetization at 0.00 μB per cell. The density of states at the Fermi level is 0.9 states/eV/f.u. The formation energy comes out at 0.0342 eV per atom.

The structure belongs to space group I4_1/amd (No. 141, origin choice 2); the cell edges are 5.9167, 5.9167 and 14.1382 Å and the angles 90.00°, 90.00° and 90.00°. The asymmetric unit holds K at (0.0000, 0.2500, 0.3750), Al at (0.0000, 0.0000, 0.0000) and Rh at (0.0000, 0.2500, 0.8750).